## CuAgOs2 (PBEsol)

Data for an optimized crystal structure of CuAgOs2.

POSCAR file:
```
CuAgOs2
1.0
-0.408 2.723 0.543
-4.437 -0.760 0.479
3.018 -1.751 3.792
Os Cu Ag
2 1 1
Direct
0.740 0.240 0.479 Os
0.998 0.998 0.996 Os
0.252 0.752 0.505 Cu
0.510 0.510 0.020 Ag
```

Results
Density: 16.35 Mg/m³
Energy relative to the lowest polymorph listed for this composition: 182 meV per atom
VASP energy: -7.350 eV/atom
DFT formation energy: 0.669 eV per atom